# 1
Sr2NpN4 | PBE | relaxed

Cell: 6.2741 6.2741 3.5520 Å, 90.00 90.00 126.01°
Fractional positions:
Sr1 0.1522 0.8478 0.0000
Sr2 0.8478 0.1522 0.0000
Np1 0.5000 0.5000 0.5000
N1 0.1196 0.1196 0.5000
N2 0.3807 0.6193 0.0000
N3 0.6193 0.3807 0.0000
N4 0.8804 0.8804 0.5000

Output
The value obtained for the theoretical density is 6.9 Mg/m³. As for the crystal system: orthorhombic. Its total energy is -7.94 eV per atom. The size of the total moment is 0.143 μB/atom.

# 2
PrBPO | PBE | relaxed

Cell: 4.9039 4.9039 5.0886 Å, 90.00 90.00 90.00°
Fractional positions:
Pr1 0.2500 0.7500 0.0000
Pr2 0.7500 0.2500 0.0000
B1 0.2500 0.2500 0.3431
B2 0.7500 0.7500 0.6569
P1 0.2500 0.2500 0.7024
P2 0.7500 0.7500 0.2976
O1 0.2500 0.7500 0.5000
O2 0.7500 0.2500 0.5000

Output
The value obtained for the theoretical density is 5.4 Mg/m³. As for the crystal system: tetragonal. Its total energy is -5.45 eV per atom. The size of the total moment is 0.004 μB/atom. The calculation puts the excess energy over the best structure of this formula in the dataset at 5.52 eV per formula unit.

# 3
HgGeSO | PBE | relaxed

Cell: 6.8380 10.8451 8.9839 Å, 90.00 90.00 90.00°
Fractional positions:
Hg1 0.1493 0.1694 0.0199
Hg2 0.1493 0.3306 0.5199
Hg3 0.3507 0.6694 0.0199
Hg4 0.3507 0.8306 0.5199
Hg5 0.6493 0.1694 0.4801
Hg6 0.6493 0.3306 0.9801
Hg7 0.8507 0.6694 0.4801
Hg8 0.8507 0.8306 0.9801
Ge1 0.2068 0.0671 0.7748
Ge2 0.2068 0.4329 0.2748
Ge3 0.2932 0.5671 0.7748
Ge4 0.2932 0.9329 0.2748
Ge5 0.7068 0.0671 0.7252
Ge6 0.7068 0.4329 0.2252
Ge7 0.7932 0.5671 0.7252
Ge8 0.7932 0.9329 0.2252
S1 0.0372 0.0743 0.2836
S2 0.0372 0.4257 0.7836
S3 0.4628 0.5743 0.2836
S4 0.4628 0.9257 0.7836
S5 0.5372 0.0743 0.2164
S6 0.5372 0.4257 0.7164
S7 0.9628 0.5743 0.2164
S8 0.9628 0.9257 0.7164
O1 0.2443 0.6527 0.6148
O2 0.2443 0.8473 0.1148
O3 0.2557 0.1527 0.6148
O4 0.2557 0.3473 0.1148
O5 0.7443 0.6527 0.8852
O6 0.7443 0.8473 0.3852
O7 0.7557 0.1527 0.8852
O8 0.7557 0.3473 0.3852

Output
The value obtained for the theoretical density is 6.4 Mg/m³. As for the crystal system: orthorhombic. Its total energy is -3.98 eV per atom. The calculation puts the excess energy over the best structure of this formula in the dataset at 0.82 eV per formula unit.

# 4
CoNiGeMo | PBE | relaxed

Cell: 4.1786 4.1786 4.1786 Å, 60.00 60.00 60.00°
Fractional positions:
Co1 0.0000 0.0000 0.0000
Ni1 0.7500 0.7500 0.7500
Ge1 0.5000 0.5000 0.5000
Mo1 0.2500 0.2500 0.2500

Output
The value obtained for the theoretical density is 9.2 Mg/m³. As for the crystal system: cubic. Its total energy is -7.05 eV per atom. The size of the total moment is 0.003 μB/atom. The calculation puts the excess energy over the best structure of this formula in the dataset at 0.00 eV per formula unit.

# 5
Nd2Si2BrCl | PBE | relaxed

Cell: 4.1114 4.1114 11.1796 Å, 90.00 90.00 120.00°
Fractional positions:
Nd1 0.0000 0.0000 0.0000
Nd2 0.0000 0.0000 0.3595
Si1 0.3333 0.6667 0.1869
Si2 0.6667 0.3333 0.1728
Br1 0.6667 0.3333 0.5289
Cl1 0.3333 0.6667 0.8487

Output
The value obtained for the theoretical density is 4.7 Mg/m³. As for the crystal system: trigonal. Its total energy is -5.31 eV per atom. The size of the total moment is 0.001 μB/atom.

# 6
Zr5PaN5 | PBE | relaxed

Cell: 5.7428 5.7428 6.5806 Å, 106.85 106.85 48.18°
Fractional positions:
Zr1 0.0000 0.0000 0.0000
Zr2 0.3228 0.3228 0.1637
Zr3 0.3284 0.3284 0.6616
Zr4 0.6716 0.6716 0.3384
Zr5 0.6772 0.6772 0.8363
Pa1 0.0000 0.0000 0.5000
N1 0.1657 0.1657 0.8350
N2 0.1672 0.1672 0.3300
N3 0.5000 0.5000 0.5000
N4 0.8328 0.8328 0.6700
N5 0.8343 0.8343 0.1650

Output
The value obtained for the theoretical density is 8.2 Mg/m³. As for the crystal system: monoclinic. Its total energy is -10.10 eV per atom. The size of the total moment is 0.001 μB/atom.

# 7
NdBeNO | PBE | relaxed

Cell: 3.3887 5.3648 5.1306 Å, 90.00 90.00 90.00°
Fractional positions:
Nd1 0.0000 0.2412 0.0000
Nd2 0.0000 0.7588 0.5000
Be1 0.5000 0.2024 0.5000
Be2 0.5000 0.7976 0.0000
N1 0.0000 0.3245 0.4997
N2 0.0000 0.6755 0.9997
O1 0.5000 0.0009 0.7510
O2 0.5000 0.9991 0.2510

Output
The value obtained for the theoretical density is 6.5 Mg/m³. As for the crystal system: orthorhombic. Its total energy is -7.28 eV per atom. The size of the total moment is 0.000 μB/atom. The calculation puts the excess energy over the best structure of this formula in the dataset at 0.56 eV per formula unit.

# 8
InCoAgAu | PBE | relaxed

Cell: 4.5640 4.5640 4.5640 Å, 60.00 60.00 60.00°
Fractional positions:
In1 0.0000 0.0000 0.0000
Co1 0.2500 0.2500 0.2500
Ag1 0.7500 0.7500 0.7500
Au1 0.5000 0.5000 0.5000

Output
The value obtained for the theoretical density is 11.8 Mg/m³. As for the crystal system: cubic. Its total energy is -3.82 eV per atom. The size of the total moment is 0.259 μB/atom. The calculation puts the excess energy over the best structure of this formula in the dataset at 0.00 eV per formula unit.

# 9
CdInFeAu | PBE | relaxed

Cell: 4.6890 4.6890 4.6890 Å, 60.00 60.00 60.00°
Fractional positions:
Cd1 0.0000 0.0000 0.0000
In1 0.5000 0.5000 0.5000
Fe1 0.7500 0.7500 0.7500
Au1 0.2500 0.2500 0.2500

Output
The value obtained for the theoretical density is 10.9 Mg/m³. As for the crystal system: cubic. Its total energy is -3.64 eV per atom. The size of the total moment is 0.613 μB/atom. The calculation puts the excess energy over the best structure of this formula in the dataset at 0.00 eV per formula unit.

# 10
NbSiB | PBE | relaxed

Cell: 4.0406 4.0406 4.0406 Å, 60.00 60.00 60.00°
Fractional positions:
Nb1 0.0000 0.0000 0.0000
Si1 0.2500 0.2500 0.2500
B1 0.7500 0.7500 0.7500

Output
The value obtained for the theoretical density is 4.7 Mg/m³. As for the crystal system: cubic. Its total energy is -6.54 eV per atom. The size of the total moment is 0.001 μB/atom. The calculation puts the excess energy over the best structure of this formula in the dataset at 1.64 eV per formula unit.

# 11
YAgS2 | PBE | relaxed

Cell: 4.1084 6.5884 13.2546 Å, 90.00 90.00 90.00°
Fractional positions:
Y1 0.2382 0.2061 0.3709
Y2 0.2618 0.7939 0.8709
Y3 0.7382 0.2939 0.6291
Y4 0.7618 0.7061 0.1291
Ag1 0.0019 0.2038 0.1214
Ag2 0.4981 0.7962 0.6214
Ag3 0.5019 0.2962 0.8786
Ag4 0.9981 0.7038 0.3786
S1 0.2393 0.0928 0.7266
S2 0.2411 0.4841 0.5266
S3 0.2589 0.5159 0.0266
S4 0.2607 0.9072 0.2266
S5 0.7393 0.4072 0.2734
S6 0.7411 0.0159 0.4734
S7 0.7589 0.9841 0.9734
S8 0.7607 0.5928 0.7734

Output
The value obtained for the theoretical density is 4.8 Mg/m³. As for the crystal system: orthorhombic. Its total energy is -5.72 eV per atom. The size of the total moment is 0.000 μB/atom.

# 12
ErTmTc | PBE | relaxed

Cell: 4.7246 4.7246 4.7246 Å, 60.00 60.00 60.00°
Fractional positions:
Er1 0.0000 0.0000 0.0000
Tm1 0.2500 0.2500 0.2500
Tc1 0.5000 0.5000 0.5000

Output
The value obtained for the theoretical density is 9.7 Mg/m³. As for the crystal system: cubic. Its total energy is -5.54 eV per atom. The size of the total moment is 0.009 μB/atom. Its formation energy from the elements is 2.77 eV/f.u.

> Look up the theoretical density of the tenth one.

4.7 Mg/m³

Repeat the ninth record exactly.
CdInFeAu | PBE | relaxed

Cell: 4.6890 4.6890 4.6890 Å, 60.00 60.00 60.00°
Fractional positions:
Cd1 0.0000 0.0000 0.0000
In1 0.5000 0.5000 0.5000
Fe1 0.7500 0.7500 0.7500
Au1 0.2500 0.2500 0.2500

Output
The value obtained for the theoretical density is 10.9 Mg/m³. As for the crystal system: cubic. Its total energy is -3.64 eV per atom. The size of the total moment is 0.613 μB/atom. The calculation puts the excess energy over the best structure of this formula in the dataset at 0.00 eV per formula unit.

> theoretical density of number 3 (HgGeSO)?

6.4 Mg/m³